! PBE Ca5HoS6, optimized geometry; values from VASP
! * spin magnetization: 0.00 μB/cell
! * E_form (uncorrected): -2.114 eV per atom
! * space group: No. 12
! * uncorrected energy: -64.72 eV per cell
&SYSTEM
  ibrav = 0, nat = 12, ntyp = 3
/
ATOMIC_SPECIES
Ca 40.08 Ca.upf
Ho 164.93 Ho.upf
S 32.06 S.upf
ATOMIC_POSITIONS angstrom
Ca 0.000 0.000 0.000
Ca 2.311 4.005 3.269
Ca 3.468 2.019 0.000
Ca 3.468 -2.019 0.000
Ca 2.311 -4.005 3.269
Ho 2.311 0.000 3.269
S 1.180 1.958 1.662
S 0.050 0.000 4.877
S 1.180 -1.958 1.662
S 3.441 1.958 4.877
S 4.571 0.000 1.662
S 3.441 -1.958 4.877
CELL_PARAMETERS angstrom
3.468 -6.004 0.000
3.468 6.004 0.000
-2.314 0.000 6.539



! PBE Re2Sb, optimized geometry; values from VASP
! * spin magnetization: 0.00 μB/cell
! * E_form (uncorrected): 0.540 eV per atom
! * space group: No. 8
! * energy above the lowest structure with this stoichiometry: 0.338 eV per atom
! * uncorrected energy: -54.80 eV per cell
&SYSTEM
  ibrav = 0, nat = 6, ntyp = 2
/
ATOMIC_SPECIES
Re 186.21 Re.upf
Sb 121.76 Sb.upf
ATOMIC_POSITIONS angstrom
Re 0.000 0.000 0.000
Re 2.660 0.000 4.835
Re 5.731 0.000 2.093
Re 6.355 0.000 6.515
Sb -0.004 0.000 4.282
Sb 2.979 0.000 1.942
CELL_PARAMETERS angstrom
5.150 -1.528 0.000
5.150 1.528 0.000
-1.093 0.000 6.702



! PBE NbSi2Au, optimized geometry; values from VASP
! * spin magnetization: 0.00 μB/cell
! * E_form (uncorrected): 0.137 eV per atom
! * space group: No. 225
! * uncorrected energy: -23.65 eV per cell
&SYSTEM
  ibrav = 0, nat = 4, ntyp = 3
/
ATOMIC_SPECIES
Nb 92.91 Nb.upf
Si 28.09 Si.upf
Au 196.97 Au.upf
ATOMIC_POSITIONS angstrom
Nb 0.000 0.000 0.000
Si 1.583 1.583 1.583
Si 4.749 4.749 4.749
Au 3.166 3.166 3.166
CELL_PARAMETERS angstrom
0.000 3.166 3.166
3.166 0.000 3.166
3.166 3.166 0.000



! PBE Ba2ThPaS6, optimized geometry; values from VASP
! * spin magnetization: 2.08 μB/cell
! * E_form (uncorrected): -1.947 eV per atom
! * space group: No. 14
! * uncorrected energy: -129.98 eV per cell
&SYSTEM
  ibrav = 0, nat = 20, ntyp = 4
/
ATOMIC_SPECIES
Ba 137.33 Ba.upf
Th 232.04 Th.upf
Pa 231.04 Pa.upf
S 32.06 S.upf
ATOMIC_POSITIONS angstrom
Ba -0.134 0.488 2.637
Ba -3.795 3.342 7.913
Ba 3.821 4.318 2.638
Ba 0.160 7.172 7.914
Th 3.674 0.000 0.000
Th 0.013 3.830 5.275
Pa -3.661 0.000 5.275
Pa 0.000 3.830 0.000
S -5.864 1.572 10.006
S -2.202 2.258 4.730
S -5.145 5.373 10.011
S -1.484 6.117 4.736
S -2.941 0.228 7.888
S 0.720 3.602 2.612
S -0.694 4.058 7.939
S 2.968 7.432 2.663
S 1.510 1.543 5.815
S 5.171 2.287 0.540
S 2.229 5.402 5.821
S 5.890 6.088 0.545
CELL_PARAMETERS angstrom
7.348 0.000 0.000
0.000 7.660 0.000
-7.322 0.000 10.551



! PBE MnTcP, optimized geometry; values from VASP
! * spin magnetization: 2.16 μB/cell
! * formation energy from the elements: -0.4617 eV per atom
! * space group: No. 59
! * energy above the lowest structure with this stoichiometry: 0.000 eV per atom
! * uncorrected energy: -52.66 eV per cell
&SYSTEM
  ibrav = 0, nat = 6, ntyp = 3
/
ATOMIC_SPECIES
Mn 54.94 Mn.upf
Tc 98.00 Tc.upf
P 30.97 P.upf
ATOMIC_POSITIONS angstrom
Mn 0.889 0.893 0.002
Mn 2.668 2.679 5.877
Tc 0.889 2.679 2.066
Tc 2.668 0.893 3.813
P 0.889 2.679 4.370
P 2.668 0.893 1.509
CELL_PARAMETERS angstrom
3.558 0.000 0.000
0.000 3.571 0.000
0.000 0.000 5.879



! PBE Ac12LaY6, optimized geometry; values from VASP
! * spin magnetization: 0.00 μB/cell
! * formation energy from the elements: 0.1898 eV per atom
! * space group: No. 166
! * uncorrected energy: -89.41 eV per cell
&SYSTEM
  ibrav = 0, nat = 19, ntyp = 3
/
ATOMIC_SPECIES
Ac 227.00 Ac.upf
La 138.91 La.upf
Y 88.91 Y.upf
ATOMIC_POSITIONS angstrom
Ac -1.869 -4.983 4.550
Ac -5.250 0.873 4.550
Ac -2.979 -1.720 6.136
Ac 1.869 -4.983 4.550
Ac -3.381 4.110 4.550
Ac 0.000 -3.440 7.514
Ac -2.979 1.720 7.514
Ac 2.979 -1.720 6.136
Ac 0.000 3.440 6.136
Ac 5.250 0.873 4.550
Ac 3.381 4.110 4.550
Ac 2.979 1.720 7.514
La 0.000 0.000 0.000
Y 0.000 -2.122 3.147
Y -1.838 1.061 3.147
Y 1.838 1.061 3.147
Y -1.838 -1.061 10.504
Y 1.838 -1.061 10.504
Y 0.000 2.122 10.504
CELL_PARAMETERS angstrom
7.119 4.110 4.550
-7.119 4.110 4.550
0.000 -8.220 4.550



! PBE Cr2CdRh, optimized geometry; values from VASP
! * spin magnetization: 0.47 μB/cell
! * formation energy from the elements: 0.2297 eV per atom
! * space group: No. 119
! * uncorrected energy: -26.59 eV per cell
&SYSTEM
  ibrav = 0, nat = 4, ntyp = 3
/
ATOMIC_SPECIES
Cr 52.00 Cr.upf
Cd 112.41 Cd.upf
Rh 102.91 Rh.upf
ATOMIC_POSITIONS angstrom
Cr 0.000 0.000 0.000
Cr 0.000 2.014 1.925
Cd 0.000 0.000 3.850
Rh 2.014 0.000 1.925
CELL_PARAMETERS angstrom
-2.014 2.014 3.850
2.014 -2.014 3.850
2.014 2.014 -3.850



! PBE Si2NiN, optimized geometry; values from VASP
! * spin magnetization: 0.00 μB/cell
! * E_form (uncorrected): -0.122 eV per atom
! * space group: No. 122
! * uncorrected energy: -50.88 eV per cell
&SYSTEM
  ibrav = 0, nat = 8, ntyp = 3
/
ATOMIC_SPECIES
Si 28.09 Si.upf
Ni 58.69 Ni.upf
N 14.01 N.upf
ATOMIC_POSITIONS angstrom
Si 3.727 0.988 -1.029
Si 0.988 1.242 1.029
Si -1.242 1.497 3.087
Si 1.497 1.242 5.144
Ni 2.484 0.000 2.058
Ni 0.000 0.000 4.116
N 0.000 0.000 0.000
N 0.000 2.484 2.058
CELL_PARAMETERS angstrom
-2.484 2.484 4.116
2.484 -2.484 4.116
2.484 2.484 -4.116